Density functional theory data (PBE) for Ac5AlHg2 after structural relaxation.

The structure in POSCAR format:
```
Ac5AlHg2
1.0
-3.6322 5.2078 -5.3685
6.7041 -0.3791 -4.9035
-4.8868 -8.9530 1.0602
Ac Al Hg
10 2 4
Direct
0.5149 0.6784 0.6933 Ac
0.8216 0.9851 0.3067 Ac
0.0000 0.0000 0.0000 Ac
0.5000 0.5000 0.0000 Ac
0.1784 0.0149 0.6933 Ac
0.6784 0.1784 0.6933 Ac
0.0149 0.5149 0.6933 Ac
0.3216 0.8216 0.3067 Ac
0.9851 0.4851 0.3067 Ac
0.4851 0.3216 0.3067 Ac
0.7500 0.7500 0.5000 Al
0.2500 0.2500 0.5000 Al
0.1266 0.3734 0.0000 Hg
0.6266 0.1266 0.0000 Hg
0.3734 0.8734 0.0000 Hg
0.8734 0.6266 0.0000 Hg
```

Summary:
DOS(E_F) (states/eV/atom): 1.226
Space group: I4/mcm
Energy of formation (eV/atom): -0.264